Entry 1:
# AlAs2HSe | Alexandria via LeMat-Bulk | GGA-PBE | optimized geometry
# uncorrected energy	-17.77	eV per formula unit
# offset from the most stable computed form	0.000	eV per atom
data_AlAs2HSe
_symmetry_space_group_name_H-M 'P 4/m m m'
_symmetry_Int_Tables_number 123
_symmetry_space_group_name_Hall '-P 4 2'
_cell_length_a 3.7590
_cell_length_b 3.7590
_cell_length_c 7.4613
_cell_angle_alpha 90.00
_cell_angle_beta 90.00
_cell_angle_gamma 90.00
loop_
_atom_site_label
_atom_site_fract_x
_atom_site_fract_y
_atom_site_fract_z
Al1 0.0000 0.0000 0.0000
As1 0.0000 0.5000 0.5000
H1 0.5000 0.5000 0.5000
Se1 0.5000 0.5000 0.0000


Entry 2:
# YTaZn3 | Alexandria via LeMat-Bulk | GGA-PBE | optimized geometry
# uncorrected energy	-13.68	eV per formula unit
# formation energy	39.0	kcal/mol of atoms
# offset from the most stable computed form	1.106	eV per atom
data_YTaZn3
_symmetry_space_group_name_H-M 'P m -3 m'
_symmetry_Int_Tables_number 221
_symmetry_space_group_name_Hall '-P 4 2 3'
_cell_length_a 5.0012
_cell_length_b 5.0012
_cell_length_c 5.0012
_cell_angle_alpha 90.00
_cell_angle_beta 90.00
_cell_angle_gamma 90.00
loop_
_atom_site_label
_atom_site_fract_x
_atom_site_fract_y
_atom_site_fract_z
Y1 0.0000 0.0000 0.0000
Ta1 0.5000 0.5000 0.5000
Zn1 0.0000 0.0000 0.5000


Entry 3:
# Pr4HoPu3S8 | Alexandria via LeMat-Bulk | GGA-PBE | optimized geometry
# uncorrected energy	-130.69	eV per formula unit
# formation energy from raw total energies	-1.9364	eV per atom
data_Pr4HoPu3S8
_symmetry_space_group_name_H-M 'R -3 m'
_symmetry_Int_Tables_number 166
_symmetry_space_group_name_Hall '-R 3 2"'
_cell_length_a 8.0095
_cell_length_b 8.0095
_cell_length_c 19.8575
_cell_angle_alpha 90.00
_cell_angle_beta 90.00
_cell_angle_gamma 120.00
loop_
_atom_site_label
_atom_site_fract_x
_atom_site_fract_y
_atom_site_fract_z
Pr1 0.0000 0.0000 0.0000
Pr2 0.0000 0.5000 0.0000
Ho1 0.0000 0.0000 0.5000
Pu1 0.0000 0.5000 0.5000
S1 0.0000 0.0000 0.2452
S2 0.0026 0.5013 0.2449


Entry 4:
# Nd6Sm12Tm | Alexandria via LeMat-Bulk | GGA-PBE | optimized geometry
# uncorrected energy	-87.14	eV per formula unit
# formation energy	3.1	kcal/mol of atoms
# offset from the most stable computed form	0.000	eV per atom
data_Nd6Sm12Tm
_symmetry_space_group_name_H-M 'R -3'
_symmetry_Int_Tables_number 148
_symmetry_space_group_name_Hall '-R 3'
_cell_length_a 12.2162
_cell_length_b 12.2162
_cell_length_c 15.2681
_cell_angle_alpha 90.00
_cell_angle_beta 90.00
_cell_angle_gamma 120.00
loop_
_atom_site_label
_atom_site_fract_x
_atom_site_fract_y
_atom_site_fract_z
Nd1 0.0128 0.5905 0.1843
Sm1 0.0045 0.1730 0.6899
Sm2 0.0474 0.1946 0.9162
Tm1 0.0000 0.0000 0.5000


Entry 5:
# Er4AgSe2S | Alexandria via LeMat-Bulk | GGA-PBE | optimized geometry
# uncorrected energy	-43.12	eV per formula unit
# formation energy from raw total energies	-1.3655	eV per atom
data_Er4AgSe2S
_symmetry_space_group_name_H-M 'P 1 2/m 1'
_symmetry_Int_Tables_number 10
_symmetry_space_group_name_Hall '-P 2y'
_cell_length_a 7.0246
_cell_length_b 3.9265
_cell_length_c 7.1061
_cell_angle_alpha 90.00
_cell_angle_beta 108.27
_cell_angle_gamma 90.00
loop_
_atom_site_label
_atom_site_fract_x
_atom_site_fract_y
_atom_site_fract_z
Er1 0.2389 0.0000 0.2374
Er2 0.2452 0.5000 0.7554
Ag1 0.0000 0.0000 0.5000
Se1 0.5000 0.0000 0.0000
Se2 0.5000 0.5000 0.5000
S1 0.0000 0.5000 0.0000


Density values (in g/cm3) by entry order: 4.0, 6.2, 7.8, 7.2, 8.6.